AcTlCoO3: relaxed, PBE+U.

abc: 3.9862 7.1463 8.9791
angles: 111.63 90.00 106.19
Last column: magnetic moment on the atom in μB.
Positions (direct):
O 0.8571 0.7142 0.2189  -0.01
O 0.5064 0.0128 0.3287  0.01
O 0.8411 0.6822 0.5723  0.00
O 0.1429 0.2858 0.7811  -0.01
O 0.1589 0.3178 0.4277  0.00
O 0.4936 0.9872 0.6713  0.01
Co 0.9916 0.9832 0.6824  1.86
Co 0.0084 0.0168 0.3176  1.86
Ac 0.3354 0.6707 0.4019  0.00
Ac 0.6646 0.3293 0.5981  0.00
Tl 0.3824 0.7649 0.0325  -0.01
Tl 0.6176 0.2351 0.9675  -0.01

Output
* E: -36.78 eV per formula unit
* M_tot: 3.71 μB/cell